[1]
Tb2Zn3Cu, optimized geometry, DFT PBE; theoretical density = 7.996 g/cm³; spin magnetization = 0.00 μB/atom; DOS at the Fermi energy = 5.6 states/eV/f.u.; space group = No. 69; DFT formation energy = -332 meV per atom
1.0
0.0000 4.4366 7.7115
3.5062 0.0000 7.7115
3.5062 4.4366 0.0000
Tb Zn Cu
4 6 2
direct
0.2457 0.7543 0.7543
0.2500 0.2500 0.2500
0.7500 0.7500 0.7500
0.7543 0.2457 0.2457
0.1642 0.6676 0.3324
0.3323 0.3323 0.6677
0.3324 0.8358 0.1642
0.6676 0.1642 0.8358
0.6677 0.6677 0.3323
0.8358 0.3324 0.6676
0.1670 0.1670 0.8330
0.8330 0.8330 0.1670

[2]
Tb3Nd3Tm, optimized geometry, DFT PBE; theoretical density = 7.468 g/cm³; spin magnetization = 0.00 μB/atom; DOS at the Fermi energy = 10.2 states/eV/f.u.; space group = No. 148; DFT formation energy = 244 meV per atom
1.0
4.3520 2.5126 7.3103
-4.3520 2.5126 7.3103
0.0000 -5.0252 7.3103
Tb Nd Tm
6 6 2
direct
0.0691 0.5648 0.2244
0.2244 0.0691 0.5648
0.4352 0.7756 0.9309
0.5648 0.2244 0.0691
0.7756 0.9309 0.4352
0.9309 0.4352 0.7756
0.2045 0.6828 0.4365
0.3172 0.5635 0.7955
0.4365 0.2045 0.6828
0.5635 0.7955 0.3172
0.6828 0.4365 0.2045
0.7955 0.3172 0.5635
0.1528 0.1528 0.1528
0.8472 0.8472 0.8472